## BaTaSb3 (PBEsol)

Data for BaTaSb3 after structural relaxation.

- total DFT energy (no corrections) (eV per atom) = -5.90
- space group = No. 221
- magnetic moment (μB per formula unit) = 0.00
- ρ (kg/m³) = 7250

Unit cell a=5.390 b=5.390 c=5.390 alpha=90.00 beta=90.00 gamma=90.00
Fractional positions:
1 Sb 0.500 0.000 0.000
2 Sb 0.000 0.500 0.000
3 Sb 0.000 0.000 0.500
4 Ta 0.000 0.000 0.000
5 Ba 0.500 0.500 0.500